#w
Compound: Er2PuBi
Source: Alexandria
Functional: PBE
Structure: optimized geometry

Output
**Volume**: 30.40 A^3/atom

a b c (Å): 12.081 12.081 12.081
angles (deg): 16.33 16.33 16.33
Element x y z (fractional)
Er  0.091  0.091  0.091
Er  0.909  0.909  0.909
Pu  0.000  0.000  0.000
Bi  0.500  0.500  0.500

=====

#x
Compound: Er2PuBi
Source: Alexandria
Functional: PBE
Structure: optimized geometry

Output
**Volume**: 28.76 A^3/atom

a b c (Å): 3.991 3.991 7.223
angles (deg): 90.00 90.00 90.00
Element x y z (fractional)
Er  0.000  0.000  0.235
Er  0.000  0.000  0.765
Pu  0.500  0.500  0.500
Bi  0.500  0.500  0.000

=====

Which structure loses on stability? #w does.

=====

#w
Compound: RbErBi2
Source: Alexandria
Functional: PBE
Structure: optimized geometry

Output
**Volume**: 39.95 A^3/atom

a b c (Å): 9.432 9.432 9.432
angles (deg): 27.67 27.67 27.67
Element x y z (fractional)
Rb  0.000  0.000  0.000
Er  0.169  0.169  0.169
Bi  0.566  0.566  0.566
Bi  0.770  0.770  0.770

=====

#x
Compound: RbErBi2
Source: Alexandria
Functional: PBE
Structure: optimized geometry

Output
**Volume**: 34.01 A^3/atom

a b c (Å): 3.712 3.712 9.871
angles (deg): 90.00 90.00 90.00
Element x y z (fractional)
Rb  0.000  0.000  0.000
Er  0.000  0.000  0.500
Bi  0.500  0.500  0.288
Bi  0.500  0.500  0.712

=====

Which structure loses on stability? #w does.

=====

#w
Compound: Er2BiRh
Source: Alexandria
Functional: PBE
Structure: optimized geometry

Output
**Volume**: 25.14 A^3/atom

a b c (Å): 6.231 4.281 8.077
angles (deg): 90.00 111.01 90.00
Element x y z (fractional)
Er  0.157  0.250  0.396
Er  0.238  0.750  0.047
Er  0.762  0.250  0.953
Er  0.843  0.750  0.604
Bi  0.397  0.750  0.708
Bi  0.603  0.250  0.292
Rh  0.119  0.250  0.792
Rh  0.881  0.750  0.208

=====

#x
Compound: Er2BiRh
Source: Alexandria
Functional: PBE
Structure: optimized geometry

Output
**Volume**: 23.97 A^3/atom

a b c (Å): 5.238 5.238 5.238
angles (deg): 57.54 57.54 57.54
Element x y z (fractional)
Er  0.245  0.245  0.245
Er  0.755  0.755  0.755
Bi  0.000  0.000  0.000
Rh  0.500  0.500  0.500

=====

#y
Compound: Er2BiRh
Source: Alexandria
Functional: PBE
Structure: optimized geometry

Output
**Volume**: 24.16 A^3/atom

a b c (Å): 3.545 3.545 7.692
angles (deg): 90.00 90.00 90.00
Element x y z (fractional)
Er  0.000  0.000  0.210
Er  0.000  0.000  0.790
Bi  0.500  0.500  0.500
Rh  0.500  0.500  0.000

=====

Which structure loses on stability? #x does.